## K2TcN (PBE)

Data for an optimized crystal structure of K2TcN.

It has space group I-42d (No. 122), with a = 11.7313 Å, b = 11.7313 Å, c = 3.8366 Å, α = 90.00°, β = 90.00° and γ = 90.00°. The asymmetric unit holds K at (0.0318, 0.2500, 0.1250), Tc at (0.0000, 0.0000, 0.5000) and N at (0.0000, 0.0000, 0.0000).

The total magnetization comes out at 3.800 μB per cell. For the formation energy (no corrections), the calculation gives 0.399 eV per atom. The density is 2.4 g cm⁻³. The final energy comes out at -77.160 eV per cell.